# 1
DFT (PBE) results for an optimized crystal structure of SiBRhS.

Geometry as POSCAR:
```
SiBRhS
1.0
2.979 0.000 0.000
0.000 1.490 5.966
0.000 -1.490 5.966
Si B Rh S
1 1 1 1
Cartesian
0.000 0.000 0.000
0.000 0.000 7.483
1.490 0.000 4.596
1.490 0.000 8.582
```

Output
Its space group is Amm2, No. 38. The energy relative to the elements, uncorrected is -0.153 eV per atom. For the density of states at the Fermi level, the calculation gives 0.19 states/eV/atom. As for the polymorph energy (0 for the lowest one): 0.127 eV per atom.

=====

# 2
DFT (PBE) results for an optimized crystal structure of SiBRhS.

Geometry as POSCAR:
```
SiBRhS
1.0
3.738 0.000 0.000
0.000 3.545 0.000
-0.884 0.000 4.591
Si B Rh S
1 1 1 1
Cartesian
0.000 0.000 0.000
1.928 0.000 0.875
0.687 1.773 4.124
1.539 0.000 2.701
```

Output
Its space group is Pm, No. 6. The energy relative to the elements, uncorrected is -0.079 eV per atom. For the density of states at the Fermi level, the calculation gives 0.05 states/eV/atom. As for the polymorph energy (0 for the lowest one): 0.201 eV per atom.

=====

# 3
DFT (PBE) results for an optimized crystal structure of SiBRhS.

Geometry as POSCAR:
```
SiBRhS
1.0
3.736 -1.752 0.000
3.736 1.752 0.000
-2.450 0.000 4.755
Si B Rh S
1 1 1 1
Cartesian
0.000 0.000 0.000
0.533 0.000 3.672
2.657 0.000 3.861
-0.553 0.000 2.206
```

Output
Its space group is Cm, No. 8. The energy relative to the elements, uncorrected is -0.092 eV per atom. For the density of states at the Fermi level, the calculation gives 0.09 states/eV/atom. As for the polymorph energy (0 for the lowest one): 0.188 eV per atom.

=====

Look up the energy relative to the elements, uncorrected of the third one.
-0.092 eV per atom

=====

polymorph energy (0 for the lowest one) of number 2 (SiBRhS)?
0.201 eV per atom

=====

What is the polymorph energy (0 for the lowest one) in the first record?
0.127 eV per atom

=====

Which of these has the highest polymorph energy (0 for the lowest one)?
number 2